Entry 1:
Density functional theory data (PBE) for a relaxed Pr3Ga2Ni4 crystal.

Unit cell a=5.540 b=5.540 c=8.303 alpha=98.43 beta=98.43 gamma=44.30
Sites, in units of the cell vectors:
Ga  0.677  0.677  0.285
Ga  0.323  0.323  0.715
Ni  0.083  0.083  0.136
Ni  0.261  0.261  0.415
Ni  0.739  0.739  0.585
Ni  0.917  0.917  0.864
Pr  0.376  0.376  0.121
Pr  0.000  0.000  0.500
Pr  0.624  0.624  0.879

Values from the calculation:
As for the total energy: -5.223 eV/atom. Its total magnetization is 0.00 Bohr magnetons per cell.



Entry 2:
Density functional theory data (PBE) for a relaxed PrGa6Ni crystal.

Unit cell a=6.404 b=6.404 c=4.249 alpha=90.00 beta=90.00 gamma=120.00
Sites, in units of the cell vectors:
Ga  0.279  0.140  0.000
Ga  0.860  0.140  0.000
Ga  0.860  0.721  0.000
Ga  0.190  0.379  0.500
Ga  0.190  0.810  0.500
Ga  0.621  0.810  0.500
Ni  0.333  0.667  0.000
Pr  0.667  0.333  0.500

Values from the calculation:
As for the total energy: -3.742 eV/atom. Its total magnetization is 0.00 Bohr magnetons per cell.



Entry 3:
Density functional theory data (PBE) for a relaxed PrGa3Ni crystal.

Unit cell a=5.944 b=5.943 c=4.269 alpha=68.97 beta=68.93 gamma=42.09
Sites, in units of the cell vectors:
Ga  0.232  0.232  0.268
Ga  0.395  0.395  0.605
Ga  0.732  0.732  0.768
Ni  0.625  0.625  0.375
Pr  0.986  0.986  0.014

Values from the calculation:
As for the total energy: -4.499 eV/atom. Its total magnetization is 0.00 Bohr magnetons per cell.



Entry 4:
Density functional theory data (PBE) for a relaxed Pr2Ga8Ni crystal.

Unit cell a=4.353 b=4.353 c=11.385 alpha=90.00 beta=90.00 gamma=90.00
Sites, in units of the cell vectors:
Ga  0.500  0.000  0.115
Ga  0.000  0.500  0.115
Ga  0.500  0.500  0.307
Ga  0.500  0.000  0.500
Ga  0.000  0.500  0.500
Ga  0.500  0.500  0.693
Ga  0.500  0.000  0.885
Ga  0.000  0.500  0.885
Ni  0.000  0.000  0.000
Pr  0.000  0.000  0.305
Pr  0.000  0.000  0.695

Values from the calculation:
As for the total energy: -4.046 eV/atom. Its total magnetization is 0.00 Bohr magnetons per cell.



Entry 5:
Density functional theory data (PBE) for a relaxed Pr2SmGa2Ni4 crystal.

Unit cell a=5.492 b=5.492 c=8.287 alpha=98.35 beta=98.35 gamma=44.61
Sites, in units of the cell vectors:
Ga  0.677  0.677  0.285
Ga  0.323  0.323  0.715
Ni  0.083  0.083  0.137
Ni  0.261  0.261  0.415
Ni  0.739  0.739  0.585
Ni  0.917  0.917  0.863
Pr  0.376  0.376  0.122
Pr  0.624  0.624  0.878
Sm  0.000  0.000  0.500

Values from the calculation:
As for the total energy: -5.224 eV/atom. Its total magnetization is 0.01 Bohr magnetons per cell.



Entry 6:
Density functional theory data (PBE) for a relaxed PrSm2Ga3Ni3 crystal.

Unit cell a=3.872 b=7.146 c=7.146 alpha=119.78 beta=90.00 gamma=90.00
Sites, in units of the cell vectors:
Ga  0.500  0.762  0.004
Ga  0.500  0.235  0.235
Ga  0.500  0.004  0.762
Ni  0.000  0.001  0.001
Ni  0.500  0.668  0.330
Ni  0.500  0.330  0.668
Pr  0.000  0.584  0.584
Sm  0.000  0.415  0.000
Sm  0.000  0.000  0.415

Values from the calculation:
As for the total energy: -5.011 eV/atom. Its total magnetization is 0.05 Bohr magnetons per cell.



Entry 7:
Density functional theory data (PBE) for a relaxed PrGaNi2Sn crystal.

Unit cell a=4.332 b=4.332 c=10.092 alpha=90.00 beta=90.00 gamma=90.00
Sites, in units of the cell vectors:
Ga  0.000  0.000  0.500
Ga  0.500  0.500  0.500
Ni  0.000  0.000  0.000
Ni  0.500  0.500  0.000
Ni  0.500  0.000  0.386
Ni  0.000  0.500  0.614
Pr  0.000  0.500  0.260
Pr  0.500  0.000  0.740
Sn  0.500  0.000  0.134
Sn  0.000  0.500  0.866

Values from the calculation:
As for the total energy: -5.140 eV/atom. Its total magnetization is 0.00 Bohr magnetons per cell.



Entry 8:
Density functional theory data (PBE) for a relaxed SrPr2Ga2Ni4 crystal.

Unit cell a=5.688 b=5.688 c=8.296 alpha=99.30 beta=99.30 gamma=42.82
Sites, in units of the cell vectors:
Ga  0.321  0.321  0.218
Ga  0.679  0.679  0.782
Ni  0.743  0.743  0.087
Ni  0.914  0.914  0.368
Ni  0.086  0.086  0.632
Ni  0.257  0.257  0.913
Pr  0.622  0.622  0.380
Pr  0.378  0.378  0.620
Sr  0.000  0.000  0.000

Values from the calculation:
As for the total energy: -4.827 eV/atom. Its total magnetization is 0.00 Bohr magnetons per cell.